1.
SrLi2Te2 | GGA-PBE | optimized geometry

POSCAR file:
```
SrLi2Te2
1.0
-7.4611 3.2081 -0.0332
-3.1416 -7.2886 1.7227
0.3133 0.7681 3.8212
Te Sr Li
4 2 4
Cartesian
-7.5119 -3.3652 3.2930 Te
-2.7775 0.0528 2.2177 Te
-6.9204 0.7002 2.4273 Te
-3.3690 -4.0126 3.0834 Te
-5.3013 -2.0402 0.8447 Sr
0.0000 0.0000 0.0000 Sr
-8.5367 -1.6394 1.0294 Li
-4.9459 1.1363 0.1771 Li
-5.6567 -5.2168 1.5124 Li
-2.0660 -2.4410 0.6601 Li
```

Properties
total DFT energy (no corrections) = -3.36 eV/atom
V = 25.792 Å³/atom
DOS(E_F) = 0.0 states/eV per cell
energy relative to the lowest polymorph listed for this composition = 0.229 eV per atom

---

2.
NbCoNiRh | GGA-PBE | optimized geometry

POSCAR file:
```
NbCoNiRh
1.0
-0.2766 -3.6211 0.7151
0.3798 -0.7501 -3.6512
3.7970 -0.2038 0.4369
Ni Co Rh Nb
1 1 1 1
Cartesian
0.0516 -2.1856 -1.4680 Ni
2.0884 -0.4769 -1.6072 Co
0.0000 0.0000 0.0000 Rh
1.7602 -1.9125 0.5760 Nb
```

Properties
total DFT energy (no corrections) = -7.89 eV/atom
V = 13.270 Å³/atom
DOS(E_F) = 2.4 states/eV per cell
formation energy = -0.31 eV/atom
energy relative to the lowest polymorph listed for this composition = 0.000 eV per atom

---

3.
HgBiN | GGA-PBE | optimized geometry

POSCAR file:
```
HgBiN
1.0
5.0253 -1.0876 0.2814
-1.6077 4.8804 0.4079
-0.2679 1.5691 10.3470
N Bi Hg
2 2 2
Cartesian
2.7296 4.6278 5.8322 N
0.4201 0.7340 5.2040 N
0.7888 4.1817 2.0364 Bi
2.3609 1.1801 8.9998 Bi
0.1587 3.1806 8.9655 Hg
2.9910 2.1812 2.0707 Hg
```

Properties
total DFT energy (no corrections) = -4.07 eV/atom
V = 38.705 Å³/atom
DOS(E_F) = 1.0 states/eV per cell
energy relative to the lowest polymorph listed for this composition = 0.015 eV per atom

---

4.
GdSc2Os | GGA-PBE | optimized geometry

POSCAR file:
```
GdSc2Os
1.0
-0.5041 -3.1318 -0.2219
2.4397 -1.9696 -0.5289
2.1037 -2.6668 10.0768
Sc Os Gd
2 1 1
Cartesian
2.3870 -5.4004 2.4451 Sc
1.6523 -2.3678 6.8809 Sc
2.0196 -3.8841 4.6630 Os
0.0000 0.0000 0.0000 Gd
```

Properties
total DFT energy (no corrections) = -9.36 eV/atom
V = 22.929 Å³/atom
DOS(E_F) = 6.2 states/eV per cell
formation energy = 0.13 eV/atom
energy relative to the lowest polymorph listed for this composition = 0.380 eV per atom

---

5.
PmPr5Sm12 | GGA-PBE | optimized geometry

POSCAR file:
```
PmPr5Sm12
1.0
-9.3535 -4.1340 -5.5079
-1.6984 -10.3215 -1.6162
-2.9728 -0.3422 5.2988
Sm Pr Pm
12 5 1
Cartesian
-3.4848 -3.8069 4.4329 Sm
-6.8569 -6.1700 -3.8840 Sm
-9.0217 -3.5545 -2.1717 Sm
-10.5400 -10.9910 -6.2583 Sm
-7.1679 -8.6279 2.0586 Sm
-10.6726 -10.5651 -2.8092 Sm
-9.1701 -3.1340 1.2669 Sm
-3.3522 -4.2328 0.9839 Sm
-6.9905 -5.7411 -0.4353 Sm
-3.3047 -0.9219 1.9625 Sm
-3.1563 -1.3423 -1.4761 Sm
-7.0343 -9.0567 -1.3901 Sm
-6.1632 -2.2382 -0.1046 Pr
-9.8483 -7.0535 -2.4797 Pr
-4.1765 -7.7444 0.6544 Pr
-3.6902 -4.8014 -2.3771 Pr
-7.3618 -9.6543 -4.7470 Pr
0.0000 0.0000 0.0000 Pm
```

Properties
total DFT energy (no corrections) = -4.64 eV/atom
V = 34.748 Å³/atom
DOS(E_F) = 29.9 states/eV per cell
formation energy = 0.10 eV/atom

---

6.
Cs3Th3FeS8 | GGA-PBE | optimized geometry

POSCAR file:
```
Cs3Th3FeS8
1.0
8.2021 -0.0001 -0.0001
-4.1012 7.0994 -0.0272
0.0001 -4.6984 8.2592
Fe S Cs Th
1 8 3 3
Cartesian
0.0000 -2.3492 4.1296 Fe
0.0000 2.3771 2.5310 S
2.0096 -1.1954 2.6895 S
4.1011 2.4318 2.6795 S
6.1926 -1.1955 2.6894 S
-2.0916 3.5964 5.5426 S
4.1010 0.0238 5.7009 S
0.0000 -0.0309 5.5525 S
2.0914 3.5963 5.5425 S
-2.0506 3.5497 -0.0136 Cs
2.0505 3.5497 -0.0136 Cs
0.0000 0.0000 0.0000 Cs
2.0505 1.2004 4.1160 Th
-2.0505 1.2005 4.1160 Th
4.1011 -2.3493 4.1296 Th
```

Properties
total DFT energy (no corrections) = -5.90 eV/atom
V = 31.993 Å³/atom
DOS(E_F) = 8.8 states/eV per cell

---

7.
Pr4ZnPt | GGA-PBE | optimized geometry

POSCAR file:
```
Pr4ZnPt
1.0
8.6352 0.0000 4.9856
2.8784 8.1414 4.9856
0.0000 0.0000 9.9711
Pr Zn Pt
16 4 4
Cartesian
6.3973 4.5236 14.9567 Pr
8.1626 3.2201 9.9711 Pr
10.8732 7.6885 14.9567 Pr
9.7542 4.5236 13.0186 Pr
7.5625 1.5172 6.8437 Pr
3.9512 6.6242 6.8437 Pr
7.5625 1.5172 13.0985 Pr
5.7568 6.6224 9.9711 Pr
7.5163 7.6885 13.0186 Pr
2.1456 1.5172 9.9711 Pr
9.7542 4.5236 16.8948 Pr
4.5539 3.2201 7.8876 Pr
9.3681 6.6242 9.9711 Pr
3.9512 6.6242 13.0985 Pr
4.5539 3.2201 12.0546 Pr
7.5163 7.6885 16.8948 Pr
1.9607 1.3864 6.5751 Zn
2.8784 3.9822 4.9856 Zn
1.9607 1.3864 3.3960 Zn
4.7139 1.3864 4.9856 Zn
3.3199 4.9323 9.9711 Pt
6.9753 4.9323 7.8607 Pt
6.9753 4.9323 12.0816 Pt
5.7568 1.4859 9.9711 Pt
```

Properties
total DFT energy (no corrections) = -4.88 eV/atom
V = 29.208 Å³/atom
DOS(E_F) = 18.6 states/eV per cell
formation energy = -0.48 eV/atom
energy relative to the lowest polymorph listed for this composition = 0.000 eV per atom

---

8.
Re2SiGeS | GGA-PBE | optimized geometry

POSCAR file:
```
Re2SiGeS
1.0
-2.5909 2.6081 2.3859
-3.8474 -2.3849 -1.5709
0.3325 -2.7652 3.3838
Si Re Ge S
1 2 1 1
Cartesian
-3.0529 -1.2711 2.0994 Si
0.1662 -1.3826 1.6919 Re
-1.2954 1.3040 1.1929 Re
-1.9237 -1.1925 -0.7855 Ge
0.0000 0.0000 0.0000 S
```

Properties
total DFT energy (no corrections) = -6.44 eV/atom
V = 18.406 Å³/atom
DOS(E_F) = 5.4 states/eV per cell

---

9.
YTc2Sb | GGA-PBE | optimized geometry

POSCAR file:
```
YTc2Sb
1.0
-0.3181 0.2937 -3.4750
-2.6580 -3.7394 -0.0727
-3.7168 2.6310 0.5625
Y Tc Sb
1 2 1
Cartesian
-1.4880 -1.7229 -1.7738 Y
0.0000 0.0000 0.0000 Tc
-3.1874 -0.5542 0.2449 Tc
-2.0174 1.4624 -1.4562 Sb
```

Properties
total DFT energy (no corrections) = -7.82 eV/atom
V = 18.431 Å³/atom
DOS(E_F) = 5.8 states/eV per cell

---

10.
K2TmI5 | GGA-PBE | optimized geometry

POSCAR file:
```
K2TmI5
1.0
8.8013 -0.0006 -0.0020
-0.0004 8.8002 -0.0014
-4.4008 -4.3998 6.2794
Tm I K
1 5 2
Cartesian
4.3997 4.3997 6.1389 Tm
6.7552 2.0464 0.5339 I
2.0466 2.0460 0.5317 I
6.7548 6.7536 0.5348 I
4.3963 4.3975 3.3106 I
2.0469 6.7544 0.5328 I
4.4007 0.0010 2.2189 K
0.0022 4.4002 2.2193 K
```

Properties
total DFT energy (no corrections) = -3.16 eV/atom
V = 60.778 Å³/atom
DOS(E_F) = 0.0 states/eV per cell
energy relative to the lowest polymorph listed for this composition = 0.050 eV per atom

---

11.
Li2Sc2Ag3 | GGA-PBE | optimized geometry

POSCAR file:
```
Li2Sc2Ag3
1.0
3.4260 0.0000 0.4547
0.0000 3.3061 0.0000
0.1607 0.0000 11.9246
Ag Sc Li
3 2 2
Cartesian
0.0000 0.0000 0.0000 Ag
0.6191 0.0000 8.4702 Ag
2.9676 0.0000 3.9091 Ag
2.1048 1.6530 10.4104 Sc
1.4819 1.6530 1.9689 Sc
1.0731 1.6530 5.0491 Li
2.5136 1.6530 7.3301 Li
```

Properties
total DFT energy (no corrections) = -3.76 eV/atom
V = 19.261 Å³/atom
DOS(E_F) = 3.9 states/eV per cell
formation energy = -0.18 eV/atom

---

12.
CaTaAg | GGA-PBE | optimized geometry

POSCAR file:
```
CaTaAg
1.0
3.2653 0.0001 0.0000
-0.0002 4.7465 0.0313
0.0009 2.3051 8.6186
Ta Ca Ag
2 2 2
Cartesian
2.4714 5.1242 5.7665 Ta
0.8387 2.8542 5.7504 Ta
2.4711 0.6549 0.1856 Ca
2.4721 3.0105 2.6997 Ca
0.8391 5.3348 8.1049 Ag
0.8396 5.3748 3.4290 Ag
```

Properties
total DFT energy (no corrections) = -5.36 eV/atom
V = 22.224 Å³/atom
DOS(E_F) = 4.1 states/eV per cell
formation energy = 0.21 eV/atom
energy relative to the lowest polymorph listed for this composition = 0.085 eV per atom